# PBE Mn2ZnSi, relaxed
# * V: 12.3 A^3/atom
# * uncorrected energy: -25.32 eV per cell
# * E_form (uncorrected): -0.07 eV/atom
# * calculated density: 6.8 g cm⁻³
data_Mn2ZnSi
_space_group_name_H-M_alt 'P 1'
_space_group_IT_number 1
_cell_length_a 4.214
_cell_length_b 2.701
_cell_length_c 4.335
_cell_angle_alpha 90.03
_cell_angle_beta 90.00
_cell_angle_gamma 90.00
loop_
_space_group_symop_operation_xyz
'x,y,z'
loop_
_atom_site_label
_atom_site_type_symbol
_atom_site_fract_x
_atom_site_fract_y
_atom_site_fract_z
Mn1 Mn 0.000 0.125 0.937
Mn2 Mn 0.500 0.125 0.316
Si1 Si 0.000 0.625 0.428
Zn1 Zn 0.500 0.625 0.818